An optimized crystal structure of Mn3SnP4O16, computed with PBE+U.

Lattice parameters (Å, degrees): 4.9880 10.0254 6.0729 90.00 90.00 89.36
With the nearest neighbours (Å) after each atom.
Element x y z (fractional)
P: 0.3880 0.0946 0.2500  4 O 1.52-1.58
P: 0.9127 0.4111 0.7500  4 O 1.51-1.60
P: 0.1020 0.6027 0.2500  4 O 1.54-1.56
P: 0.5928 0.8941 0.7500  4 O 1.52-1.57
O: 0.2335 0.1657 0.0542  1 P 1.58
O: 0.7675 0.3391 0.5488  1 P 1.60
O: 0.7945 0.6203 0.2500  1 P 1.54
O: 0.3562 0.9438 0.2500  1 P 1.52
O: 0.2400 0.6695 0.0495  1 P 1.55
O: 0.2335 0.1657 0.4458  1 P 1.58
O: 0.2118 0.3882 0.7500  1 P 1.51
O: 0.1689 0.4502 0.2500  1 P 1.56
O: 0.2863 0.8703 0.7500  1 P 1.55
O: 0.6894 0.1272 0.2500  1 P 1.54
O: 0.2400 0.6695 0.4506  1 P 1.55
O: 0.7357 0.8236 0.5499  1 P 1.57
O: 0.6433 0.0430 0.7500  1 P 1.52
O: 0.7675 0.3391 0.9512  1 P 1.60
O: 0.7357 0.8236 0.9500  1 P 1.57
O: 0.8407 0.5605 0.7500  1 P 1.54
Sn: 0.9491 0.2820 0.2500  6 O 2.02-2.18
Mn: 0.5874 0.7845 0.2500  4 O 1.93-2.01
Mn: 0.4449 0.2199 0.7500  4 O 2.02-2.20
Mn: 0.0785 0.7117 0.7500  4 O 1.91-2.03

Calculated values
Crystal system: monoclinic
Density: 3.6 g/cm3
Total DFT energy (no corrections): -7.294 eV per atom